No. 1
Computed, not measured: an optimized crystal structure of TmTlAu at the PBE level of DFT.

a = 3.584 Å, b = 3.584 Å, c = 6.210 Å
α = 106.77°, β = 106.77°, γ = 90.00°
Fractional positions:
1 Au 0.605 0.605 0.209
2 Tm 0.971 0.971 0.942
3 Tl 0.274 0.274 0.548

Output
total moment = 0.0 Bohr magnetons per cell
ΔE_f = -0.45 eV/atom
E = -11.5 eV per formula unit
D(E_F) = 1.41 states/eV/f.u.

---

No. 2
Computed, not measured: an optimized crystal structure of KY4Cr at the PBE level of DFT.

a = 6.679 Å, b = 6.679 Å, c = 6.679 Å
α = 60.00°, β = 60.00°, γ = 60.00°
Each line ends with the local moment (μB).
Fractional positions:
1 Y 0.377 0.377 0.869  0.03
2 Y 0.377 0.377 0.377  0.03
3 Y 0.377 0.869 0.377  0.03
4 Y 0.869 0.377 0.377  0.03
5 Cr 0.750 0.750 0.750  3.98
6 K 0.000 0.000 0.000  0.00

Output
total moment = 5.1 Bohr magnetons per cell
ΔE_f = 0.79 eV/atom
E = -31.8 eV per formula unit
D(E_F) = 8.20 states/eV/f.u.

---

No. 3
Computed, not measured: an optimized crystal structure of IrW at the PBE level of DFT.

a = 2.782 Å, b = 2.782 Å, c = 7.965 Å
α = 90.00°, β = 90.00°, γ = 90.00°
Fractional positions:
1 Ir 0.250 0.250 0.129
2 Ir 0.750 0.750 0.871
3 W 0.250 0.250 0.637
4 W 0.750 0.750 0.363

Output
total moment = 0.0 Bohr magnetons per cell
energy above the most stable polymorph in this dataset = 0.1996 eV per atom
ΔE_f = -0.10 eV/atom
E = -22.0 eV per formula unit
D(E_F) = 1.68 states/eV/f.u.

---

No. 4
Computed, not measured: an optimized crystal structure of TbDy2B6 at the PBE level of DFT.

a = 3.894 Å, b = 5.703 Å, c = 5.703 Å
α = 120.00°, β = 90.00°, γ = 90.00°
Fractional positions:
1 B 0.500 0.666 0.000
2 B 0.500 0.334 0.000
3 B 0.500 0.666 0.666
4 B 0.500 0.334 0.334
5 B 0.500 0.000 0.666
6 B 0.500 0.000 0.334
7 Tb 0.000 0.000 0.000
8 Dy 0.000 0.667 0.333
9 Dy 0.000 0.333 0.667

Output
total moment = 0.0 Bohr magnetons per cell
ΔE_f = -0.55 eV/atom
E = -58.9 eV per formula unit
D(E_F) = 2.12 states/eV/f.u.

---

What is the formula in the third record? IrW

---

Which of these has the highest D(E_F)? KY4Cr

---

Among the records above, which one has the highest D(E_F)? KY4Cr